Record 1
First-principles (PBE) data for a relaxed Mn2TlAu crystal, as listed in the Alexandria database.

Values from the calculation:
ΔE to the lowest computed polymorph = 1.99 kcal/mol of atoms
space-group type = No. 12
E_form = 0.34 eV per atom
magnetization = 15.56 Bohr magnetons per cell
V = 18.96 Å³/atom

Unit cell a=8.8028 b=3.2004 c=5.5079 alpha=90.00 beta=102.16 gamma=90.00
With the nearest neighbours (Å) after each atom.
Element x y z (fractional)
Mn: 0.2434 0.0000 0.2248  3 Au 2.75-2.80, 3 Tl 2.87-2.92, 2 Mn 2.97
Mn: 0.2566 0.5000 0.7752  3 Au 2.75-2.80, 3 Tl 2.87-2.92, 2 Mn 2.97
Mn: 0.7434 0.5000 0.2248  3 Au 2.75-2.80, 3 Tl 2.87-2.92, 2 Mn 2.97
Mn: 0.7566 0.0000 0.7752  3 Au 2.75-2.80, 3 Tl 2.87-2.92, 2 Mn 2.97
Tl: 0.0000 0.0000 0.5000  6 Mn 2.87-2.92, 4 Au 3.19, 2 Tl 3.20
Tl: 0.5000 0.5000 0.5000  6 Mn 2.87-2.92, 4 Au 3.19, 2 Tl 3.20
Au: 0.0000 0.5000 0.0000  6 Mn 2.75-2.80
Au: 0.5000 0.0000 0.0000  6 Mn 2.75-2.80

=====

Record 2
First-principles (PBE) data for a relaxed Ca3Ag5Pb2 crystal, as listed in the Alexandria database.

Values from the calculation:
space-group type = No. 72
E_form = -0.15 eV per atom
magnetization = 0.00 Bohr magnetons per cell
V = 25.95 Å³/atom

Unit cell a=9.6703 b=9.6703 c=9.6703 alpha=100.95 beta=90.96 gamma=142.49
With the nearest neighbours (Å) after each atom.
Element x y z (fractional)
Ca: 0.2232 0.6136 0.8368  4 Pb 3.21-3.52, 3 Ag 3.24-3.33
Ca: 0.2500 0.2500 0.0000  2 Ca 3.11, 4 Pb 3.12, 2 Ag 3.16
Ca: 0.2768 0.1136 0.3904  4 Pb 3.21-3.52, 3 Ag 3.24-3.33
Ca: 0.7232 0.8864 0.6096  4 Pb 3.21-3.52, 3 Ag 3.24-3.33
Ca: 0.7500 0.7500 0.0000  2 Ca 3.11, 4 Pb 3.12, 2 Ag 3.16
Ca: 0.7768 0.3864 0.1632  4 Pb 3.21-3.52, 3 Ag 3.24-3.33
Ag: 0.1369 0.3681 0.5050  4 Ag 2.78-2.91, 1 Pb 2.81
Ag: 0.2500 0.5064 0.2564  5 Ag 2.78-3.11, 2 Pb 3.02
Ag: 0.2500 0.7500 0.5000  8 Ag 2.91-3.11
Ag: 0.2500 0.9936 0.7436  5 Ag 2.78-3.11, 2 Pb 3.02
Ag: 0.3631 0.8681 0.2313  4 Ag 2.78-2.91, 1 Pb 2.81
Ag: 0.6369 0.1319 0.7687  4 Ag 2.78-2.91, 1 Pb 2.81
Ag: 0.7500 0.0064 0.2564  5 Ag 2.78-3.11, 2 Pb 3.02
Ag: 0.7500 0.2500 0.5000  8 Ag 2.91-3.11
Ag: 0.7500 0.4936 0.7436  5 Ag 2.78-3.11, 2 Pb 3.02
Ag: 0.8631 0.6319 0.4950  4 Ag 2.78-2.91, 1 Pb 2.81
Pb: 0.1562 0.8639 0.0201  3 Ag 2.81-3.02, 2 Ca 3.12
Pb: 0.3438 0.3639 0.7078  3 Ag 2.81-3.02, 2 Ca 3.12
Pb: 0.6562 0.6361 0.2922  3 Ag 2.81-3.02, 2 Ca 3.12
Pb: 0.8438 0.1361 0.9799  3 Ag 2.81-3.02, 2 Ca 3.12